Entry from the Alexandria database: CaNb2Ir2 after structural relaxation (GGA-PBEsol).

Output
The energy of formation from the pure elements is -2.0 eV/f.u.

a = 4.438 Å, b = 4.438 Å, c = 6.037 Å
α = 111.56°, β = 111.56°, γ = 90.00°
Element x y z (fractional)
Nb 0.250 0.750 0.500
Nb 0.750 0.250 0.500
Ir 0.376 0.376 0.751
Ir 0.624 0.624 0.249
Ca 0.000 0.000 0.000


Entry from the Alexandria database: Y2BeNi after structural relaxation (GGA-PBEsol).

Output
The energy of formation from the pure elements is -0.8 eV/f.u.

a = 3.777 Å, b = 4.114 Å, c = 5.391 Å
α = 90.00°, β = 110.50°, γ = 90.00°
Element x y z (fractional)
Y 0.109 0.000 0.217
Y 0.390 0.500 0.780
Ni 0.696 0.500 0.392
Be 0.809 0.000 0.617